i.
{"formula": "CaBe2Rh2", "functional": "PBE", "state": "optimized geometry", "lattice": [[-2.0808, 2.0808, 4.5372], [2.0808, -2.0808, 4.5372], [2.0808, 2.0808, -4.5372]], "species": ["Ca", "Be", "Be", "Rh", "Rh"], "fractional_positions": [[0.0000, 0.0000, 0.0000], [0.3386, 0.3386, 0.0000], [0.6614, 0.6614, 0.0000], [0.2500, 0.7500, 0.5000], [0.7500, 0.2500, 0.5000]], "magnetic_moment_mub_per_cell": 0.00, "sg": "No. 139"}

***

ii.
{"formula": "CaBe2Rh2", "functional": "PBE", "state": "optimized geometry", "lattice": [[6.9953, 0.0000, 0.0000], [0.0000, 6.9953, 0.0000], [0.0000, 0.0000, 2.8382]], "species": ["Ca", "Ca", "Be", "Be", "Be", "Be", "Rh", "Rh", "Rh", "Rh"], "fractional_positions": [[0.0000, 0.0000, 0.0000], [0.5000, 0.5000, 0.0000], [0.1301, 0.3699, 0.5000], [0.3699, 0.8699, 0.5000], [0.6301, 0.1301, 0.5000], [0.8699, 0.6301, 0.5000], [0.1477, 0.6477, 0.0000], [0.3523, 0.1477, 0.0000], [0.6477, 0.8523, 0.0000], [0.8523, 0.3523, 0.0000]], "magnetic_moment_mub_per_cell": 0.00, "sg": "No. 127"}

***

Most stable: i. Least stable: ii.